No. 1
DFT (GGA-PBE) results for crystalline TcPIr2 at its relaxed geometry.

Calculated values
Fermi-level density of states (states/eV per atom): 1.1545
Total magnetic moment (μB per atom): 0.0003
Calculated formation energy (kJ/mol of formula units): 120
Energy (Ry per atom): -0.5926

Unit cell a=4.598 b=4.598 c=2.741 alpha=90.00 beta=90.00 gamma=90.00
Space group P4/mmm (No. 123)
Unique sites:
Tc 0.000 0.000 0.000 x1
P 0.500 0.500 0.000 x1
Ir 0.000 0.500 0.500 x2

***

No. 2
DFT (GGA-PBE) results for crystalline TcP2Ir at its relaxed geometry.

Calculated values
Fermi-level density of states (states/eV per atom): 0.4885
Relative energy among the computed polymorphs (meV/atom): 265.9
Total magnetic moment (μB per atom): 0.0000
Calculated formation energy (kJ/mol of formula units): -71
Energy (Ry per atom): -0.5656

Unit cell a=2.9081 b=2.9081 c=22.3193 alpha=90.00 beta=90.00 gamma=120.00
Space group R-3m (No. 166, hexagonal axes)
Unique sites:
Tc 0.0000 0.0000 0.0000 x3
P 0.0000 0.0000 0.2526 x6
Ir 0.0000 0.0000 0.5000 x3

***

No. 3
DFT (GGA-PBE) results for crystalline TcP2Ir at its relaxed geometry.

Calculated values
Fermi-level density of states (states/eV per atom): 0.8374
Relative energy among the computed polymorphs (meV/atom): 661.1
Total magnetic moment (μB per atom): 0.0000
Calculated formation energy (kJ/mol of formula units): 82
Energy (Ry per atom): -0.5365

Unit cell a=2.910 b=3.863 c=5.126 alpha=90.00 beta=90.00 gamma=90.00
Space group Pmmm (No. 47)
Unique sites:
Tc 0.000 0.000 0.000 x1
P 0.000 0.500 0.500 x1
P 0.500 0.500 0.000 x1
Ir 0.500 0.000 0.500 x1